1.
First-principles (GGA-PBE) data for a geometry-optimized ThAlZn2Au5 structure, as listed in Alexandria via LeMat-Bulk.

Properties
DFT formation energy = -0.21 eV per atom
DOS(E_F) = 4.53 states/eV per cell
crystal system = orthorhombic

Unit cell a=7.721 b=7.721 c=7.721 alpha=144.37 beta=133.54 gamma=59.89
Fractional coordinates of all 9 atoms:
Th 0.000 0.000 0.000
Al 0.500 0.500 0.000
Zn 0.310 0.810 0.500
Zn 0.690 0.190 0.500
Au 0.083 0.353 0.730
Au 0.378 0.647 0.730
Au 0.500 0.000 0.500
Au 0.622 0.353 0.270
Au 0.917 0.647 0.270


2.
First-principles (GGA-PBE) data for a geometry-optimized Tl2S structure, as listed in Alexandria via LeMat-Bulk.

Properties
energy relative to the elements, uncorrected = -342 meV per atom
offset from the most stable computed form = 2 meV/atom
crystal system = trigonal

Unit cell a=9.592 b=9.592 c=9.592 alpha=81.65 beta=81.65 gamma=81.65
Fractional coordinates of all 27 atoms:
Tl 0.052 0.757 0.719
Tl 0.059 0.427 0.086
Tl 0.086 0.059 0.427
Tl 0.098 0.438 0.466
Tl 0.101 0.139 0.806
Tl 0.139 0.806 0.101
Tl 0.389 0.718 0.421
Tl 0.421 0.389 0.718
Tl 0.427 0.086 0.059
Tl 0.431 0.768 0.802
Tl 0.438 0.466 0.098
Tl 0.466 0.098 0.438
Tl 0.718 0.421 0.389
Tl 0.719 0.052 0.757
Tl 0.757 0.719 0.052
Tl 0.768 0.802 0.431
Tl 0.802 0.431 0.768
Tl 0.806 0.100 0.139
S 0.078 0.747 0.405
S 0.116 0.452 0.776
S 0.118 0.118 0.118
S 0.405 0.078 0.747
S 0.407 0.407 0.407
S 0.452 0.776 0.116
S 0.740 0.740 0.740
S 0.747 0.405 0.078
S 0.776 0.116 0.452